# Zr11In9Os4

A geometry-optimized Zr11In9Os4 structure (GGA-PBE, Alexandria via LeMat-Bulk).

Lattice parameters (Å, degrees): 14.3130 21.2990 3.3299 90.00 90.00 90.00
Closest atoms and distances in Å follow each position.
Space group Cmmm (No. 65)
Symmetry-distinct sites (fractional):
Zr 0.0000 0.0000 0.0000 (multiplicity 2)  8 In 3.07, 4 Zr 3.23-3.33
Zr 0.0000 0.1515 0.0000 (multiplicity 4)  8 In 3.17-3.20, 5 Zr 3.23-3.50
Zr 0.0000 0.3743 0.0000 (multiplicity 4)  4 Os 2.81
Zr 0.1862 0.5000 0.0000 (multiplicity 4)  4 Os 2.80
Zr 0.2422 0.1733 0.0000 (multiplicity 8)  2 Os 2.68
In 0.0000 0.5000 0.5000 (multiplicity 2)  4 Os 3.12, 8 Zr 3.14-3.15, 2 In 3.33
In 0.1038 0.2595 0.5000 (multiplicity 8)  1 In 2.97, 1 Os 3.01, 8 Zr 3.11-3.31
In 0.1459 0.0716 0.5000 (multiplicity 8)  1 Os 2.94, 1 In 3.05, 6 Zr 3.06-3.17
Os 0.1545 0.3965 0.5000 (multiplicity 8)  6 Zr 2.68-2.81, 1 In 2.94

Values from the calculation:
* formation energy: -0.357 eV/atom
* energy: -344.330 eV per cell



# La2Zr2Au

A geometry-optimized La2Zr2Au structure (GGA-PBE, Alexandria via LeMat-Bulk).

Lattice parameters (Å, degrees): 7.3436 7.3436 5.1958 90.00 90.00 90.00
Closest atoms and distances in Å follow each position.
Space group P4/mbm (No. 127)
Symmetry-distinct sites (fractional):
La 0.1651 0.3349 0.0000 (multiplicity 4)  6 Zr 3.26-3.46, 1 La 3.43
Zr 0.1454 0.6454 0.5000 (multiplicity 4)  2 Au 2.81, 1 Zr 3.02
Au 0.0000 0.0000 0.5000 (multiplicity 2)  4 Zr 2.81

Values from the calculation:
* formation energy: -0.049 eV/atom
* energy: -60.951 eV per cell



# Ca5Bi3

A geometry-optimized Ca5Bi3 structure (GGA-PBE, Alexandria via LeMat-Bulk).

Lattice parameters (Å, degrees): 9.2671 9.2671 7.1068 90.00 90.00 120.00
Closest atoms and distances in Å follow each position.
Space group P6_3/mcm (No. 193)
Symmetry-distinct sites (fractional):
Ca 0.0000 0.2497 0.2500 (multiplicity 6)  3 Bi 3.17-3.34
Ca 0.3333 0.6667 0.0000 (multiplicity 4)  6 Bi 3.37, 2 Ca 3.55
Bi 0.0000 0.3899 0.7500 (multiplicity 6)  7 Ca 3.17-3.37

Values from the calculation:
* formation energy: -0.845 eV/atom
* energy: -56.818 eV per cell